[1]
# ZrScHgH2 (PBE-GGA, relaxed)
data_ZrScHgH2
_symmetry_space_group_name_H-M 'P 4/m m m'
_symmetry_Int_Tables_number 123
_symmetry_space_group_name_Hall '-P 4 2'
_cell_length_a 4.014
_cell_length_b 4.014
_cell_length_c 5.937
_cell_angle_alpha 90.00
_cell_angle_beta 90.00
_cell_angle_gamma 90.00
loop_
_atom_site_label
_atom_site_type_symbol
_atom_site_fract_x
_atom_site_fract_y
_atom_site_fract_z
Zr1 Zr 0.000 0.000 0.000
Sc1 Sc 0.000 0.000 0.500
Hg1 Hg 0.500 0.500 0.000
H1 H 0.000 0.500 0.500
# * theoretical density: 5.88 g/cm3
# * raw total energy: -4.017 eV/atom
# * crystal system: tetragonal



[2]
# NaSn2Mo (PBE-GGA, relaxed)
data_NaSn2Mo
_symmetry_space_group_name_H-M 'I -4 2 d'
_symmetry_Int_Tables_number 122
_symmetry_space_group_name_Hall 'I -4 2bw'
_cell_length_a 5.608
_cell_length_b 5.608
_cell_length_c 17.423
_cell_angle_alpha 90.00
_cell_angle_beta 90.00
_cell_angle_gamma 90.00
loop_
_atom_site_label
_atom_site_type_symbol
_atom_site_fract_x
_atom_site_fract_y
_atom_site_fract_z
Na1 Na 0.000 0.000 0.000
Sn1 Sn 0.112 0.250 0.625
Mo1 Mo 0.000 0.000 0.500
# * formation energy from the elements: 0.67 eV per atom
# * theoretical density: 4.32 g/cm3
# * energy relative to the lowest polymorph listed for this composition: 0.4458 eV/atom
# * raw total energy: -4.368 eV/atom
# * crystal system: tetragonal



What is the formula in the second record? NaSn2Mo



The highest raw total energy belongs to which entry? ZrScHgH2



Look up the raw total energy of the second one. -4.368 eV/atom